1.
Here is a geometry-optimized Tm3MgSb4 structure from Alexandria. Energies are from PBE-GGA.

Structure (POSCAR):
```
Tm3MgSb4
1.0
6.124 0.000 0.000
0.000 6.124 0.000
0.000 0.000 6.124
Tm Mg Sb
3 1 4
direct
0.000 0.000 0.500
0.000 0.500 0.000
0.500 0.000 0.000
0.500 0.500 0.500
0.000 0.000 0.000
0.000 0.500 0.500
0.500 0.000 0.500
0.500 0.500 0.000
```

Computed properties:
- Symmetry: Pm-3m (221)
- Volume: 229.65 Å³ per cell
- Energy relative to the elements, uncorrected: -0.80 eV per atom



2.
Here is a geometry-optimized TmMgSb structure from Alexandria. Energies are from PBE-GGA.

Structure (POSCAR):
```
TmMgSb
1.0
4.705 0.000 0.000
-2.352 4.074 0.000
0.000 0.000 3.916
Tm Mg Sb
1 1 1
direct
0.000 0.000 0.000
0.333 0.667 0.501
0.667 0.333 0.499
```

Computed properties:
- Symmetry: P3m1 (156)
- Volume: 75.07 Å³ per cell
- Energy relative to the elements, uncorrected: -0.42 eV per atom



3.
Here is a geometry-optimized Tm4MgSb2 structure from Alexandria. Energies are from PBE-GGA.

Structure (POSCAR):
```
Tm4MgSb2
1.0
6.243 0.000 0.000
0.000 6.487 0.000
-0.392 0.000 9.733
Tm Mg Sb
8 2 4
direct
0.043 0.250 0.242
0.161 0.750 0.433
0.440 0.508 0.755
0.440 0.992 0.755
0.560 0.008 0.245
0.560 0.492 0.245
0.839 0.250 0.567
0.957 0.750 0.758
0.183 0.750 0.071
0.817 0.250 0.929
0.296 0.250 0.997
0.329 0.250 0.489
0.671 0.750 0.511
0.704 0.750 0.003
```

Computed properties:
- Symmetry: P2_1/m (11)
- Volume: 394.18 Å³ per cell
- Energy relative to the elements, uncorrected: -0.44 eV per atom



4.
Here is a geometry-optimized Tm2MgSb structure from Alexandria. Energies are from PBE-GGA.

Structure (POSCAR):
```
Tm2MgSb
1.0
2.019 1.166 8.533
-2.019 1.166 8.533
0.000 -2.332 8.533
Tm Mg Sb
2 1 1
direct
0.239 0.239 0.239
0.761 0.761 0.761
0.000 0.000 0.000
0.500 0.500 0.500
```

Computed properties:
- Symmetry: R-3m (166)
- Volume: 120.55 Å³ per cell
- Energy relative to the elements, uncorrected: -0.33 eV per atom



5.
Here is a geometry-optimized Tm8MgSb2 structure from Alexandria. Energies are from PBE-GGA.

Structure (POSCAR):
```
Tm8MgSb2
1.0
8.163 -3.198 0.000
8.163 3.198 0.000
-0.210 0.000 6.084
Tm Mg Sb
8 1 2
direct
0.079 0.079 0.373
0.147 0.657 0.127
0.295 0.295 0.649
0.343 0.853 0.873
0.657 0.147 0.127
0.705 0.705 0.351
0.853 0.343 0.873
0.921 0.921 0.627
0.500 0.500 0.500
0.239 0.239 0.154
0.761 0.761 0.846
```

Computed properties:
- Symmetry: C2/m (12)
- Volume: 317.60 Å³ per cell
- Energy relative to the elements, uncorrected: -0.27 eV per atom



6.
Here is a geometry-optimized TmMgSb2 structure from Alexandria. Energies are from PBE-GGA.

Structure (POSCAR):
```
TmMgSb2
1.0
21.380 0.000 0.000
0.000 4.374 0.000
0.000 0.000 4.372
Tm Mg Sb
4 4 8
direct
0.107 0.250 0.248
0.393 0.750 0.748
0.607 0.250 0.252
0.893 0.750 0.752
0.250 0.250 0.743
0.250 0.750 0.243
0.750 0.250 0.757
0.750 0.750 0.257
0.000 0.250 0.750
0.000 0.750 0.250
0.157 0.750 0.746
0.343 0.250 0.246
0.500 0.250 0.750
0.500 0.750 0.250
0.657 0.750 0.754
0.843 0.250 0.254
```

Computed properties:
- Symmetry: Pnma (62)
- Volume: 408.90 Å³ per cell
- Energy relative to the elements, uncorrected: -0.59 eV per atom



7.
Here is a geometry-optimized TmMgSb structure from Alexandria. Energies are from PBE-GGA.

Structure (POSCAR):
```
TmMgSb
1.0
4.234 0.000 0.000
-0.002 4.298 0.000
-0.024 -0.014 9.451
Tm Mg Sb
2 2 2
direct
0.000 0.000 0.000
0.497 0.498 0.648
0.004 0.999 0.375
0.502 0.498 0.274
0.500 0.500 0.974
0.997 0.998 0.674
```

Computed properties:
- Symmetry: P1 (1)
- Volume: 171.96 Å³ per cell
- Energy relative to the elements, uncorrected: -0.53 eV per atom



8.
Here is a geometry-optimized TmMgSb2 structure from Alexandria. Energies are from PBE-GGA.

Structure (POSCAR):
```
TmMgSb2
1.0
2.151 1.242 6.992
-2.151 1.242 6.992
0.000 -2.483 6.992
Tm Mg Sb
1 1 2
direct
0.000 0.000 0.000
0.500 0.500 0.500
0.247 0.247 0.247
0.753 0.753 0.753
```

Computed properties:
- Symmetry: R-3m (166)
- Volume: 112.04 Å³ per cell
- Energy relative to the elements, uncorrected: -0.54 eV per atom



9.
Here is a geometry-optimized Tm2MgSb structure from Alexandria. Energies are from PBE-GGA.

Structure (POSCAR):
```
Tm2MgSb
1.0
3.929 0.000 0.000
0.000 3.929 0.000
0.000 0.000 6.656
Tm Mg Sb
2 1 1
direct
0.000 0.000 0.243
0.000 0.000 0.757
0.500 0.500 0.500
0.500 0.500 0.000
```

Computed properties:
- Symmetry: P4/mmm (123)
- Volume: 102.73 Å³ per cell
- Energy relative to the elements, uncorrected: -0.49 eV per atom



10.
Here is a geometry-optimized TmMgSb2 structure from Alexandria. Energies are from PBE-GGA.

Structure (POSCAR):
```
TmMgSb2
1.0
4.956 0.000 0.000
0.000 4.956 0.000
0.000 0.000 4.078
Tm Mg Sb
1 1 2
direct
0.000 0.000 0.000
0.500 0.500 0.000
0.000 0.500 0.500
0.500 0.000 0.500
```

Computed properties:
- Symmetry: P4/mmm (123)
- Volume: 100.15 Å³ per cell
- Energy relative to the elements, uncorrected: -0.50 eV per atom



11.
Here is a geometry-optimized TmMgSb2 structure from Alexandria. Energies are from PBE-GGA.

Structure (POSCAR):
```
TmMgSb2
1.0
2.213 1.278 6.665
-2.213 1.278 6.665
0.000 -2.556 6.665
Tm Mg Sb
1 1 2
direct
0.000 0.000 0.000
0.171 0.171 0.171
0.418 0.418 0.418
0.583 0.583 0.583
```

Computed properties:
- Symmetry: R3m (160)
- Volume: 113.11 Å³ per cell
- Energy relative to the elements, uncorrected: -0.56 eV per atom



12.
Here is a geometry-optimized MgUSb structure from Alexandria. Energies are from PBE-GGA.

Structure (POSCAR):
```
MgUSb
1.0
4.215 0.000 0.000
0.000 4.143 0.000
-0.065 0.000 8.110
Mg U Sb
2 2 2
direct
0.250 0.250 0.163
0.750 0.750 0.837
0.282 0.750 0.499
0.718 0.250 0.501
0.243 0.250 0.802
0.757 0.750 0.198
```

Computed properties:
- Symmetry: P2_1/m (11)
- Volume: 141.62 Å³ per cell
- Energy relative to the elements, uncorrected: -0.21 eV per atom



no.,E_tot (eV per atom)
1,-4.735
2,-3.816
3,-4.399
4,-3.992
5,-4.421
6,-4.165
7,-3.930
8,-4.118
9,-4.151
10,-4.080
11,-4.139
12,-5.875